Record 1
A relaxed SrNiNF2 crystal, computed with PBE+U.

Cell and atoms, written as extended XYZ:
```
5
Lattice="4.605 0.000 0.000 0.000 4.605 0.000 0.000 0.000 5.132" Properties=species:S:1:pos:R:3 pbc="T T T"
N 0.000 0.000 2.566
Sr 0.000 0.000 0.000
Ni 2.303 2.303 2.566
F 2.303 0.000 0.000
F 0.000 2.303 0.000
```

Total DFT energy (no corrections) ... -0.286 Ry/atom
Crystal system ... tetragonal
Symmetry ... P4/mmm
N(E_F) ... 1.87 states/eV/f.u.

***

Record 2
A relaxed TaNiN2F crystal, computed with PBE+U.

Cell and atoms, written as extended XYZ:
```
5
Lattice="3.768 0.000 0.000 0.000 3.768 0.000 0.000 0.000 3.489" Properties=species:S:1:pos:R:3 pbc="T T T"
Ta 1.884 1.884 1.744
F 0.000 0.000 1.744
N 1.884 0.000 0.000
N 0.000 1.884 0.000
Ni 0.000 0.000 0.000
```

Total DFT energy (no corrections) ... -0.447 Ry/atom
Crystal system ... tetragonal
Symmetry ... P4/mmm
N(E_F) ... 1.63 states/eV/f.u.

***

Record 3
A relaxed Ta2NiN6F12 crystal, computed with PBE+U.

Cell and atoms, written as extended XYZ:
```
21
Lattice="0.000 6.495 6.495 6.495 0.000 6.495 6.495 6.495 0.000" Properties=species:S:1:pos:R:3 pbc="T T T"
F 11.666 9.742 9.742
F 7.818 9.742 9.742
F 1.324 3.247 3.247
F 3.247 3.247 1.324
F 3.247 5.171 3.247
F 9.742 11.666 9.742
F 5.171 3.247 3.247
F 3.247 1.324 3.247
F 9.742 9.742 7.818
F 9.742 9.742 11.666
F 3.247 3.247 5.171
F 9.742 7.818 9.742
N 6.495 8.344 6.495
N 6.495 6.495 8.344
N 4.646 6.495 6.495
N 6.495 6.495 4.646
N 6.495 4.646 6.495
N 8.344 6.495 6.495
Ni 6.495 6.495 6.495
Ta 9.742 9.742 9.742
Ta 3.247 3.247 3.247
```

Total DFT energy (no corrections) ... -0.380 Ry/atom
Crystal system ... cubic
Symmetry ... Fm-3m
N(E_F) ... 37.48 states/eV/f.u.

***

Record 4
A relaxed TaNiN2F crystal, computed with PBE+U.

Cell and atoms, written as extended XYZ:
```
5
Lattice="4.061 0.000 0.000 0.000 4.061 0.000 0.000 0.000 3.976" Properties=species:S:1:pos:R:3 pbc="T T T"
Ta 0.000 0.000 0.000
N 2.031 0.000 0.000
N 0.000 2.031 0.000
F 0.000 0.000 1.988
Ni 2.031 2.031 1.988
```

Total DFT energy (no corrections) ... -0.503 Ry/atom
Crystal system ... tetragonal
Symmetry ... P4/mmm
N(E_F) ... 2.56 states/eV/f.u.

***

Record 5
A relaxed NiTeNF2 crystal, computed with PBE+U.

Cell and atoms, written as extended XYZ:
```
5
Lattice="-3.003 0.588 -3.267 -3.221 -1.583 2.675 -0.742 3.829 1.372" Properties=species:S:1:pos:R:3 pbc="T T T"
Ni -3.483 1.417 0.390
Te 0.000 0.000 0.000
N -0.371 1.914 0.686
F -1.501 0.294 -1.634
F -1.611 -0.791 1.338
```

Total DFT energy (no corrections) ... -0.261 Ry/atom
Crystal system ... tetragonal
Symmetry ... P4/mmm
N(E_F) ... 0.95 states/eV/f.u.

***

Record 6
A relaxed NiTe2NF crystal, computed with PBE+U.

Cell and atoms, written as extended XYZ:
```
5
Lattice="-1.870 -3.870 -2.113 1.014 -2.611 3.885 -3.429 0.854 1.469" Properties=species:S:1:pos:R:3 pbc="T T T"
Te 0.507 -1.305 1.942
Te -0.935 -1.935 -1.056
F 0.000 0.000 0.000
Ni -2.142 -2.813 1.621
N -1.714 0.427 0.735
```

Total DFT energy (no corrections) ... -0.172 Ry/atom
Crystal system ... tetragonal
Symmetry ... P4/mmm
N(E_F) ... 3.06 states/eV/f.u.

***

Q: Among the records above, which one has the highest N(E_F)?
A: Ta2NiN6F12